1.
Computed, not measured: a relaxed structure of NaSn6Au at the PBE level of DFT.

Properties
formation energy from the elements = -0.074 eV/atom
space group = No. 12
DOS(E_F) = 0.5695 states/eV per atom

Geometry as POSCAR:
```
NaSn6Au
1.0
3.318 -5.226 0.000
3.318 5.226 0.000
-1.121 0.000 6.056
Na Sn Au
1 6 1
Direct
0.000 0.000 0.000 Na
0.167 0.596 0.249 Sn
0.242 0.242 0.559 Sn
0.404 0.833 0.751 Sn
0.596 0.167 0.249 Sn
0.758 0.758 0.441 Sn
0.833 0.404 0.751 Sn
0.500 0.500 0.000 Au
```

---

2.
Computed, not measured: a relaxed structure of TaSiSb2 at the PBE level of DFT.

Properties
ΔE_f (raw) = 1.7 eV per formula unit
space group = No. 12
DOS(E_F) = 0.5614 states/eV per atom

Geometry as POSCAR:
```
TaSiSb2
1.0
4.892 -1.691 0.000
4.892 1.691 0.000
-0.494 0.000 5.074
Ta Si Sb
1 1 2
Direct
0.000 0.000 0.000 Ta
0.500 0.500 0.500 Si
0.276 0.276 0.763 Sb
0.724 0.724 0.237 Sb
```

---

3.
Computed, not measured: a relaxed structure of Ag3Os at the PBE level of DFT.

Properties
formation energy from the elements = 0.469 eV/atom
space group = No. 63
DOS(E_F) = 0.8229 states/eV per atom
offset from the most stable computed form = 0.068 eV/atom

Geometry as POSCAR:
```
Ag3Os
1.0
4.307 -3.830 0.000
4.307 3.830 0.000
0.000 0.000 4.187
Ag Os
6 2
Direct
0.099 0.362 0.750 Ag
0.143 0.857 0.750 Ag
0.362 0.099 0.250 Ag
0.638 0.901 0.750 Ag
0.857 0.143 0.250 Ag
0.901 0.638 0.250 Ag
0.422 0.578 0.250 Os
0.578 0.422 0.750 Os
```

---

4.
Computed, not measured: a relaxed structure of Tb3Nd2Er6 at the PBE level of DFT.

Properties
formation energy from the elements = 0.269 eV/atom
space group = No. 139
DOS(E_F) = 1.5342 states/eV per atom
offset from the most stable computed form = 0.084 eV/atom

Geometry as POSCAR:
```
Tb3Nd2Er6
1.0
-2.360 2.360 16.554
2.360 -2.360 16.554
2.360 2.360 -16.554
Tb Nd Er
3 2 6
Direct
0.000 0.000 0.000 Tb
0.202 0.202 0.000 Tb
0.798 0.798 0.000 Tb
0.454 0.454 0.000 Nd
0.546 0.546 0.000 Nd
0.122 0.622 0.500 Er
0.305 0.305 0.000 Er
0.378 0.878 0.500 Er
0.622 0.122 0.500 Er
0.695 0.695 0.000 Er
0.878 0.378 0.500 Er
```